{"formula": "Sc4MnIr", "functional": "PBEsol", "state": "optimized geometry", "final_energy_ev_per_atom": -7.215, "sg": "F-43m (216)", "delta_e_f_kj_per_mol_atoms": 44, "crystal_system": "cubic", "lattice": [[0.000, 3.802, 3.802], [3.802, 0.000, 3.802], [3.802, 3.802, 0.000]], "species": ["Sc", "Sc", "Sc", "Sc", "Mn", "Ir"], "frac_coords": [[0.376, 0.376, 0.376], [0.376, 0.376, 0.873], [0.376, 0.873, 0.376], [0.873, 0.376, 0.376], [0.000, 0.000, 0.000], [0.750, 0.750, 0.750]]}

***

{"formula": "KSr2Ag", "functional": "PBEsol", "state": "optimized geometry", "final_energy_ev_per_atom": -1.841, "e_above_lowest_polymorph_mev_per_atom": 259, "sg": "I-4m2 (119)", "delta_e_f_kj_per_mol_atoms": 18, "crystal_system": "tetragonal", "lattice": [[5.119, 0.000, 0.000], [0.000, 5.119, 0.000], [0.000, 0.000, 12.010]], "species": ["K", "K", "Sr", "Sr", "Sr", "Sr", "Ag", "Ag"], "frac_coords": [[0.000, 0.000, 0.000], [0.500, 0.500, 0.500], [0.000, 0.000, 0.500], [0.000, 0.500, 0.250], [0.500, 0.000, 0.750], [0.500, 0.500, 0.000], [0.000, 0.500, 0.750], [0.500, 0.000, 0.250]]}

***

{"formula": "MgHg2Pb", "functional": "PBEsol", "state": "optimized geometry", "final_energy_ev_per_atom": -1.795, "sg": "I4/mmm (139)", "delta_e_f_kj_per_mol_atoms": -8, "crystal_system": "tetragonal", "lattice": [[4.603, 0.000, 0.000], [0.000, 4.603, 0.000], [0.000, 0.000, 8.947]], "species": ["Mg", "Mg", "Hg", "Hg", "Hg", "Hg", "Pb", "Pb"], "frac_coords": [[0.000, 0.000, 0.000], [0.500, 0.500, 0.500], [0.000, 0.500, 0.250], [0.000, 0.500, 0.750], [0.500, 0.000, 0.250], [0.500, 0.000, 0.750], [0.000, 0.000, 0.500], [0.500, 0.500, 0.000]]}

***

{"formula": "Ti3PRu", "functional": "PBEsol", "state": "optimized geometry", "final_energy_ev_per_atom": -7.745, "sg": "Pm-3m (221)", "delta_e_f_kj_per_mol_atoms": 43, "crystal_system": "cubic", "lattice": [[4.566, 0.000, 0.000], [0.000, 4.566, 0.000], [0.000, 0.000, 4.566]], "species": ["Ti", "Ti", "Ti", "P", "Ru"], "frac_coords": [[0.000, 0.000, 0.500], [0.000, 0.500, 0.000], [0.500, 0.000, 0.000], [0.500, 0.500, 0.500], [0.000, 0.000, 0.000]]}

***

{"formula": "DyGePd", "functional": "PBEsol", "state": "optimized geometry", "final_energy_ev_per_atom": -6.247, "sg": "C2/m (12)", "delta_e_f_kj_per_mol_atoms": -92, "crystal_system": "monoclinic", "lattice": [[10.270, 0.000, 0.000], [0.000, 4.293, 0.000], [-4.627, 0.000, 5.154]], "species": ["Dy", "Dy", "Dy", "Dy", "Ge", "Ge", "Ge", "Ge", "Pd", "Pd", "Pd", "Pd"], "frac_coords": [[0.049, 0.000, 0.309], [0.451, 0.500, 0.691], [0.549, 0.500, 0.309], [0.951, 0.000, 0.691], [0.159, 0.500, 0.099], [0.341, 0.000, 0.901], [0.659, 0.000, 0.099], [0.841, 0.500, 0.901], [0.176, 0.500, 0.726], [0.324, 0.000, 0.274], [0.676, 0.000, 0.726], [0.824, 0.500, 0.274]]}

***

{"formula": "CaCuPb", "functional": "PBEsol", "state": "optimized geometry", "final_energy_ev_per_atom": -3.594, "sg": "I4mm (107)", "delta_e_f_kj_per_mol_atoms": -10, "crystal_system": "tetragonal", "lattice": [[3.542, 0.000, 0.000], [0.000, 3.542, 0.000], [0.000, 0.000, 11.072]], "species": ["Ca", "Ca", "Cu", "Cu", "Pb", "Pb"], "frac_coords": [[0.000, 0.000, 0.000], [0.500, 0.500, 0.500], [0.000, 0.000, 0.336], [0.500, 0.500, 0.836], [0.000, 0.000, 0.710], [0.500, 0.500, 0.210]]}

***

{"formula": "Sc2CuP", "functional": "PBEsol", "state": "optimized geometry", "final_energy_ev_per_atom": -6.163, "sg": "Cmm2 (35)", "delta_e_f_kj_per_mol_atoms": -32, "crystal_system": "orthorhombic", "lattice": [[3.999, 0.000, 0.000], [0.000, 5.017, 0.000], [0.000, 0.000, 7.155]], "species": ["Sc", "Sc", "Sc", "Sc", "Cu", "Cu", "P", "P"], "frac_coords": [[0.000, 0.000, 0.000], [0.000, 0.500, 0.363], [0.500, 0.000, 0.363], [0.500, 0.500, 0.000], [0.000, 0.500, 0.760], [0.500, 0.000, 0.760], [0.000, 0.000, 0.594], [0.500, 0.500, 0.594]]}

***

{"formula": "Tm6ReO12", "functional": "PBEsol", "state": "optimized geometry", "final_energy_ev_per_atom": -8.855, "formation_energy_uncorrected_ev_per_atom": -3.29, "sg": "R-3 (148)", "crystal_system": "trigonal", "lattice": [[4.785, 2.763, 3.035], [-4.785, 2.763, 3.035], [0.000, -5.525, 3.035]], "species": ["Tm", "Tm", "Tm", "Tm", "Tm", "Tm", "Re", "O", "O", "O", "O", "O", "O", "O", "O", "O", "O", "O", "O"], "frac_coords": [[0.112, 0.644, 0.817], [0.183, 0.888, 0.356], [0.356, 0.183, 0.888], [0.644, 0.817, 0.112], [0.817, 0.112, 0.644], [0.888, 0.356, 0.183], [0.500, 0.500, 0.500], [0.069, 0.323, 0.911], [0.089, 0.931, 0.677], [0.199, 0.537, 0.424], [0.323, 0.911, 0.069], [0.424, 0.199, 0.537], [0.463, 0.576, 0.801], [0.537, 0.424, 0.199], [0.576, 0.801, 0.463], [0.677, 0.089, 0.931], [0.801, 0.463, 0.576], [0.911, 0.069, 0.323], [0.931, 0.677, 0.089]]}

***

{"formula": "NaBeHgSb2", "functional": "PBEsol", "state": "optimized geometry", "final_energy_ev_per_atom": -1.916, "formation_energy_uncorrected_ev_per_atom": 1.10, "sg": "P4/mmm (123)", "crystal_system": "tetragonal", "lattice": [[5.347, 0.000, 0.000], [0.000, 5.347, 0.000], [0.000, 0.000, 4.657]], "species": ["Na", "Be", "Hg", "Sb", "Sb"], "frac_coords": [[0.000, 0.000, 0.000], [0.000, 0.000, 0.500], [0.500, 0.500, 0.500], [0.000, 0.500, 0.000], [0.500, 0.000, 0.000]]}

***

{"formula": "Ba2MgTa", "functional": "PBEsol", "state": "optimized geometry", "final_energy_ev_per_atom": -3.892, "sg": "Cm (8)", "delta_e_f_kj_per_mol_atoms": 72, "crystal_system": "monoclinic", "lattice": [[12.719, 0.000, 0.000], [0.000, 3.374, 0.000], [-1.934, 0.000, 5.904]], "species": ["Ba", "Ba", "Ba", "Ba", "Mg", "Mg", "Ta", "Ta"], "frac_coords": [[0.000, 0.000, 0.000], [0.200, 0.000, 0.619], [0.500, 0.500, 0.000], [0.700, 0.500, 0.619], [0.430, 0.000, 0.442], [0.930, 0.500, 0.442], [0.258, 0.500, 0.152], [0.758, 0.000, 0.152]]}

***

{"formula": "BaCaPb", "functional": "PBEsol", "state": "optimized geometry", "final_energy_ev_per_atom": -3.380, "sg": "Pnma (62)", "delta_e_f_kj_per_mol_atoms": -60, "crystal_system": "orthorhombic", "lattice": [[8.814, 0.000, 0.000], [0.000, 5.282, 0.000], [0.000, 0.000, 9.654]], "species": ["Ba", "Ba", "Ba", "Ba", "Ca", "Ca", "Ca", "Ca", "Pb", "Pb", "Pb", "Pb"], "frac_coords": [[0.021, 0.250, 0.182], [0.479, 0.750, 0.682], [0.521, 0.250, 0.318], [0.979, 0.750, 0.818], [0.145, 0.250, 0.572], [0.355, 0.750, 0.072], [0.645, 0.250, 0.928], [0.855, 0.750, 0.428], [0.226, 0.750, 0.392], [0.274, 0.250, 0.892], [0.726, 0.750, 0.108], [0.774, 0.250, 0.608]]}

***

{"formula": "SiOs2Br", "functional": "PBEsol", "state": "optimized geometry", "final_energy_ev_per_atom": -7.189, "e_above_lowest_polymorph_mev_per_atom": 370, "formation_energy_uncorrected_ev_per_atom": 0.82, "sg": "Imm2 (44)", "crystal_system": "orthorhombic", "lattice": [[2.860, 0.000, 0.000], [0.000, 4.121, 0.000], [0.000, 0.000, 10.413]], "species": ["Si", "Si", "Os", "Os", "Os", "Os", "Br", "Br"], "frac_coords": [[0.000, 0.000, 0.000], [0.500, 0.500, 0.500], [0.000, 0.000, 0.569], [0.000, 0.500, 0.303], [0.500, 0.000, 0.803], [0.500, 0.500, 0.069], [0.000, 0.500, 0.761], [0.500, 0.000, 0.261]]}